The following is a GGA-PBE calculation of a geometry-optimized Ti3MoPd2 structure, from the Alexandria database.

Values from the calculation:
ΔH_f (0 K) = -460 meV/atom

```
data_Ti3MoPd2
_chemical_formula_sum 'Ti6 Mo2 Pd4'
_cell_length_a 4.4916
_cell_length_b 7.0932
_cell_length_c 6.2616
_cell_angle_alpha 90.00
_cell_angle_beta 90.00
_cell_angle_gamma 71.55
_symmetry_space_group_name_H-M 'P 1'
_symmetry_Int_Tables_number 1
loop_
_symmetry_equiv_pos_as_xyz
'x,y,z'
loop_
_atom_site_label
_atom_site_fract_x
_atom_site_fract_y
_atom_site_fract_z
Pd1 0.3348 0.3303 0.5000
Pd2 0.0000 0.0000 0.0000
Pd3 0.0000 0.0000 0.5000
Pd4 0.6652 0.6697 0.5000
Ti1 0.8299 0.3407 0.2419
Ti2 0.5000 0.0000 0.7542
Ti3 0.5000 0.0000 0.2458
Ti4 0.8298 0.3407 0.7581
Ti5 0.1701 0.6593 0.7581
Ti6 0.1702 0.6593 0.2419
Mo1 0.6640 0.6719 0.0000
Mo2 0.3360 0.3281 0.0000
```

The following is a GGA-PBE calculation of a geometry-optimized Ti4MoPd structure, from the Alexandria database.

Values from the calculation:
ΔH_f (0 K) = 211 meV/atom

```
data_Ti4MoPd
_chemical_formula_sum 'Ti4 Mo1 Pd1'
_cell_length_a 4.4005
_cell_length_b 4.4002
_cell_length_c 7.2680
_cell_angle_alpha 72.44
_cell_angle_beta 72.38
_cell_angle_gamma 60.00
_symmetry_space_group_name_H-M 'P 1'
_symmetry_Int_Tables_number 1
loop_
_symmetry_equiv_pos_as_xyz
'x,y,z'
loop_
_atom_site_label
_atom_site_fract_x
_atom_site_fract_y
_atom_site_fract_z
Pd1 0.5000 0.5000 0.5000
Ti1 0.1234 0.1234 0.6297
Ti2 0.8766 0.8766 0.3703
Ti3 0.3724 0.3722 0.8831
Ti4 0.6276 0.6278 0.1169
Mo1 0.0000 0.0000 0.0000
```

The following is a GGA-PBE calculation of a geometry-optimized Ti2MoPd2 structure, from the Alexandria database.

Values from the calculation:
ΔH_f (0 K) = -345 meV/atom

```
data_Ti2MoPd2
_chemical_formula_sum 'Ti2 Mo1 Pd2'
_cell_length_a 3.1004
_cell_length_b 3.1958
_cell_length_c 8.4705
_cell_angle_alpha 79.13
_cell_angle_beta 90.00
_cell_angle_gamma 90.00
_symmetry_space_group_name_H-M 'P 1'
_symmetry_Int_Tables_number 1
loop_
_symmetry_equiv_pos_as_xyz
'x,y,z'
loop_
_atom_site_label
_atom_site_fract_x
_atom_site_fract_y
_atom_site_fract_z
Ti1 0.5000 0.5935 0.8130
Ti2 0.5000 0.4065 0.1870
Mo1 0.0000 0.0000 0.0000
Pd1 0.0000 0.1819 0.6362
Pd2 0.0000 0.8181 0.3638
```

Q: Which formula does entry 1 have?
A: Ti3MoPd2

Q: The lowest ΔH_f (0 K) belongs to which entry?
A: Ti3MoPd2